Entry 1:
# LaLuAg

A relaxed LaLuAg crystal (PBE, Alexandria).

Calculated values
Energy relative to the lowest polymorph listed for this composition: 0.000 eV per atom
Formation energy: -171.0 meV per atom
Energy: -4.271 eV per atom

abc: 3.631 3.631 6.920
angles: 105.21 105.21 90.00
Sites, in units of the cell vectors:
1 Lu 0.306 0.306 0.613
2 Ag 0.684 0.684 0.367
3 La 0.010 0.010 0.020

***

Entry 2:
# Ca2HfW

A relaxed Ca2HfW crystal (PBE, Alexandria).

Calculated values
Energy relative to the lowest polymorph listed for this composition: 0.117 eV per atom
Formation energy: 1295.8 meV per atom
Energy: -5.432 eV per atom

abc: 8.669 8.669 6.749
angles: 50.04 50.04 90.00
Each line ends with the local moment (μB).
Sites, in units of the cell vectors:
1 Ca 0.659 0.125 0.250  -0.01
2 Ca 0.091 0.625 0.250  0.00
3 Ca 0.375 0.341 0.750  0.00
4 Ca 0.875 0.909 0.750  0.00
5 Hf 0.500 0.500 0.000  -0.11
6 Hf 0.250 0.750 0.500  -0.11
7 W 0.000 0.000 0.000  0.23
8 W 0.750 0.250 0.500  0.23

***

Entry 3:
# TbSmTe2

A relaxed TbSmTe2 crystal (PBE, Alexandria).

Calculated values
Energy relative to the lowest polymorph listed for this composition: 0.023 eV per atom
Formation energy from raw total energies: -1.348 eV/atom
Energy: -5.256 eV per atom

abc: 4.404 4.404 7.632
angles: 73.01 73.01 60.38
Sites, in units of the cell vectors:
1 Tb 0.000 0.000 0.000
2 Sm 0.500 0.500 0.500
3 Te 0.748 0.748 0.756
4 Te 0.252 0.252 0.244

***

Entry 4:
# Ba2AlPdO4

A relaxed Ba2AlPdO4 crystal (PBE, Alexandria).

Calculated values
Formation energy from raw total energies: -2.082 eV/atom
Energy: -6.158 eV per atom

abc: 5.597 5.597 5.597
angles: 105.83 111.32 111.32
Each line ends with the local moment (μB).
Sites, in units of the cell vectors:
1 Ba 0.500 0.750 0.250  0.01
2 Ba 0.000 0.000 0.000  -0.01
3 Al 0.000 0.500 0.500  0.01
4 Pd 0.500 0.250 0.750  0.67
5 O 0.673 0.471 0.511  0.06
6 O 0.041 0.202 0.529  0.06
7 O 0.959 0.488 0.162  0.06
8 O 0.327 0.838 0.798  0.06

***

Entry 5:
# Gd2ZrNb

A relaxed Gd2ZrNb crystal (PBE, Alexandria).

Calculated values
Formation energy: 519.1 meV per atom
Energy: -11.176 eV per atom

abc: 3.232 3.232 11.397
angles: 81.85 81.85 60.00
Each line ends with the local moment (μB).
Sites, in units of the cell vectors:
1 Nb 0.000 0.000 0.000  0.42
2 Gd 0.086 0.086 0.742  -7.12
3 Gd 0.914 0.914 0.258  -7.12
4 Zr 0.500 0.500 0.500  0.17

***

Entry 6:
# Sm2ErRu

A relaxed Sm2ErRu crystal (PBE, Alexandria).

Calculated values
Energy relative to the lowest polymorph listed for this composition: 0.191 eV per atom
Formation energy: -76.1 meV per atom
Energy: -5.895 eV per atom

abc: 3.480 3.480 9.051
angles: 90.00 90.00 90.00
Sites, in units of the cell vectors:
1 Ru 0.500 0.500 0.000
2 Sm 0.000 0.000 0.812
3 Sm 0.000 0.000 0.188
4 Er 0.500 0.500 0.500

***

Entry 7:
# TmPuMgAg

A relaxed TmPuMgAg crystal (PBE, Alexandria).

Calculated values
Formation energy: 64.0 meV per atom
Energy: -5.748 eV per atom

abc: 5.234 5.234 5.234
angles: 60.00 60.00 60.00
Each line ends with the local moment (μB).
Sites, in units of the cell vectors:
1 Mg 0.750 0.750 0.750  0.01
2 Tm 0.500 0.500 0.500  0.23
3 Ag 0.250 0.250 0.250  0.05
4 Pu 0.000 0.000 0.000  5.49

***

Entry 8:
# NaLu2Co

A relaxed NaLu2Co crystal (PBE, Alexandria).

Calculated values
Energy relative to the lowest polymorph listed for this composition: 0.106 eV per atom
Formation energy: 27.2 meV per atom
Energy: -4.340 eV per atom

abc: 3.714 3.714 10.303
angles: 79.62 79.62 60.00
Sites, in units of the cell vectors:
1 Na 0.000 0.000 0.000
2 Lu 0.119 0.119 0.642
3 Lu 0.881 0.881 0.358
4 Co 0.500 0.500 0.500

***

| no. | magnetic moment (μB per formula unit) |
| --- | --- |
| 1 | 0.01 |
| 2 | 0.07 |
| 3 | 0.00 |
| 4 | 1.00 |
| 5 | 13.77 |
| 6 | 0.00 |
| 7 | 6.28 |
| 8 | 0.00 |